Record 1
Material: PbIBr2
Method: DFT, GGA-PBE
State: optimized geometry

- DOS(E_F): 3.76 states/eV/cell
- Magnetization: 0.0 μB per formula unit
- Symmetry: No. 166
- Distance to the lowest polymorph of the same formula: 766 meV/atom
- Formation energy without anion corrections: 0.098 eV/atom

Structure (POSCAR):
```
PbIBr2
1.0
2.158 0.000 10.977
-1.079 1.869 10.977
-1.079 -1.869 10.977
Br I Pb
2 1 1
Cartesian
0.000 0.000 2.816
0.000 0.000 30.114
0.000 0.000 16.465
0.000 0.000 0.000
```



Record 2
Material: Ba2NpO5
Method: DFT, GGA-PBE
State: optimized geometry

- Magnetization: 1.0 μB per formula unit
- Symmetry: No. 15
- Distance to the lowest polymorph of the same formula: 0 meV/atom
- Formation energy without anion corrections: -2.965 eV/atom

Structure (POSCAR):
```
Ba2NpO5
1.0
6.032 0.000 0.000
-3.016 5.691 -2.351
0.000 0.387 8.498
Np O Ba
2 10 4
Cartesian
0.000 0.194 4.249
0.000 0.000 0.000
4.697 1.653 3.939
-1.604 4.579 5.974
0.640 0.097 2.124
1.412 1.693 4.422
1.335 1.459 -0.309
1.604 4.385 1.725
4.620 1.499 0.173
1.681 4.618 6.456
5.392 0.291 6.373
-1.681 4.425 2.207
-0.205 3.851 -0.134
3.221 2.227 6.281
0.205 4.045 4.115
2.811 2.033 2.032
```



What did the second record say?
Material: Ba2NpO5
Method: DFT, GGA-PBE
State: optimized geometry

- Magnetization: 1.0 μB per formula unit
- Symmetry: No. 15
- Distance to the lowest polymorph of the same formula: 0 meV/atom
- Formation energy without anion corrections: -2.965 eV/atom

Structure (POSCAR):
```
Ba2NpO5
1.0
6.032 0.000 0.000
-3.016 5.691 -2.351
0.000 0.387 8.498
Np O Ba
2 10 4
Cartesian
0.000 0.194 4.249
0.000 0.000 0.000
4.697 1.653 3.939
-1.604 4.579 5.974
0.640 0.097 2.124
1.412 1.693 4.422
1.335 1.459 -0.309
1.604 4.385 1.725
4.620 1.499 0.173
1.681 4.618 6.456
5.392 0.291 6.373
-1.681 4.425 2.207
-0.205 3.851 -0.134
3.221 2.227 6.281
0.205 4.045 4.115
2.811 2.033 2.032
```